[1]
## Ba3MnGe (PBE)

Data for a geometry-optimized Ba3MnGe structure.

The space group is Pm-3m (No. 221) and the conventional cell measures 6.4661, 6.4661 and 6.4661 Å, with angles of 90.00, 90.00 and 90.00 degrees. Symmetry generates all atoms from Ba at (0.0000, 0.0000, 0.5000), Mn at (0.5000, 0.5000, 0.5000) and Ge at (0.0000, 0.0000, 0.0000).

For the excess energy over the best structure of this formula in the dataset, the calculation gives 0 meV per atom. The value obtained for the electronic total energy is -3.58 eV per atom. The energy of formation comes out at 0.331 eV/atom. Its density of states at the Fermi level is 8.4 states/eV per cell. For the total magnetization, the calculation gives 0.6983 μB per atom.

[2]
## BaMnGe2 (PBE)

Data for a geometry-optimized BaMnGe2 structure.

The space group is R-3m (No. 166, hexagonal axes) and the conventional cell measures 4.2558, 4.2558 and 18.5685 Å, with angles of 90.00, 90.00 and 120.00 degrees. Symmetry generates all atoms from Ba at (0.0000, 0.0000, 0.0000), Mn at (0.0000, 0.0000, 0.5000) and Ge at (0.0000, 0.0000, 0.2102).

The value obtained for the electronic total energy is -5.35 eV per atom. The energy of formation comes out at -0.268 eV/atom. Its density of states at the Fermi level is 8.0 states/eV per cell. For the total magnetization, the calculation gives 0.7724 μB per atom.